Entry from Alexandria: a relaxed structure of CeMn17Al (PBE-GGA).

- Space-group type: R3m
- N(E_F): 21.8 states/eV per cell
- DFT formation energy: 0.08 eV/atom
- Energy: -164.0 eV for the cell shown

Cell lengths 6.2329, 6.2329, 6.2329 Å; angles 86.53, 86.53, 86.53 degrees
Site moments in Bohr magnetons follow the coordinates.
Fractional coordinates of all 19 atoms:
Ce  0.3599  0.3599  0.3599  -0.09
Mn  0.2729  0.9986  0.7236  -0.73
Mn  0.7236  0.2729  0.9986  -0.73
Mn  0.9986  0.7236  0.2729  -0.73
Mn  0.2729  0.7236  0.9986  -0.73
Mn  0.9986  0.2729  0.7236  -0.73
Mn  0.7236  0.9986  0.2729  -0.73
Mn  0.3696  0.8695  0.3696  2.11
Mn  0.3696  0.3696  0.8695  2.11
Mn  0.8695  0.3696  0.3696  2.11
Mn  0.6415  0.1161  0.6415  1.99
Mn  0.6415  0.6415  0.1161  1.99
Mn  0.1161  0.6415  0.6415  1.99
Mn  0.9981  0.4957  0.9981  0.45
Mn  0.9981  0.9981  0.4957  0.45
Mn  0.4957  0.9981  0.9981  0.45
Mn  0.8934  0.8934  0.8934  -1.94
Mn  0.1022  0.1022  0.1022  -1.94
Al  0.6545  0.6545  0.6545  -0.01